# Tc2TeW

A relaxed Tc2TeW crystal (PBE, Alexandria).

Calculated values
For the density of states at the Fermi level, the calculation gives 4.48 states/eV per cell. Its crystal system is orthorhombic. For the uncorrected formation energy, the calculation gives 577 meV per atom. For the calculated total energy, the calculation gives -8.63 eV/atom. For the density, the calculation gives 11.987 g cm⁻³.

```
4
Lattice="1.614 -2.434 0.000 1.614 2.434 0.000 0.000 0.000 8.947" Properties=species:S:1:pos:R:3 pbc="T T T"
Tc 0.000 0.000 2.012
Tc 0.000 0.000 6.935
Te 1.614 0.000 4.474
W 1.614 0.000 0.000
```